# 1
! SmGa2Cu3 (GGA-PBE, optimized geometry); values from VASP
! * final energy: -50.10 eV per cell
! * space-group type: P6_3/mmc, No. 194
! * DOS(E_F): 5.8 states/eV per cell
&SYSTEM
  ibrav = 0, nat = 12, ntyp = 3
/
ATOMIC_SPECIES
Sm 150.36 Sm.upf
Ga 69.72 Ga.upf
Cu 63.55 Cu.upf
ATOMIC_POSITIONS crystal
Sm 0.000 0.000 0.250
Sm 0.000 0.000 0.750
Ga 0.667 0.333 0.391
Ga 0.333 0.667 0.609
Ga 0.333 0.667 0.891
Ga 0.667 0.333 0.109
Cu 0.000 0.000 0.500
Cu 0.000 0.000 0.000
Cu 0.667 0.333 0.579
Cu 0.333 0.667 0.079
Cu 0.667 0.333 0.921
Cu 0.333 0.667 0.421
CELL_PARAMETERS angstrom
-3.197 2.267 -1.437
-0.360 -2.061 3.612
4.654 10.741 6.592

=====

# 2
! SmGaCu2 (GGA-PBE, optimized geometry); values from VASP
! * final energy: -16.40 eV per cell
! * space-group type: Amm2, No. 38
! * DOS(E_F): 3.0 states/eV per cell
&SYSTEM
  ibrav = 0, nat = 4, ntyp = 3
/
ATOMIC_SPECIES
Sm 150.36 Sm.upf
Ga 69.72 Ga.upf
Cu 63.55 Cu.upf
ATOMIC_POSITIONS crystal
Sm 0.000 0.009 0.991
Ga 0.500 0.601 0.399
Cu 0.500 0.494 0.890
Cu 0.500 0.110 0.506
CELL_PARAMETERS angstrom
-1.673 1.962 -2.486
-4.028 -2.363 0.846
-0.644 3.471 3.173